Entry 1:
First-principles (PBE) data for ScCuSi after structural relaxation, as listed in Alexandria via LeMat-Bulk.

a = 4.921 Å, b = 2.974 Å, c = 7.073 Å
α = 90.00°, β = 110.03°, γ = 90.00°
Atoms (fractional coordinates):
Sc 0.160 0.000 0.325
Sc 0.840 0.000 0.675
Cu 0.247 0.500 0.000
Cu 0.753 0.500 0.000
Si 0.350 0.500 0.694
Si 0.650 0.500 0.306

## Properties
Space group = P2/m (10)
DFT total energy = -5.689 eV per atom
Energy relative to the elements, uncorrected = -0.405 eV per atom
N(E_F) = 0.5093 states/eV/atom

***

Entry 2:
First-principles (PBE) data for ScCu3Si2 after structural relaxation, as listed in Alexandria via LeMat-Bulk.

a = 7.359 Å, b = 7.359 Å, c = 7.359 Å
α = 148.72°, β = 122.29°, γ = 67.11°
Atoms (fractional coordinates):
Sc 0.134 0.134 0.000
Sc 0.866 0.866 0.000
Cu 0.118 0.322 0.796
Cu 0.333 0.000 0.333
Cu 0.474 0.678 0.796
Cu 0.526 0.322 0.204
Cu 0.667 0.000 0.667
Cu 0.882 0.678 0.204
Si 0.163 0.500 0.663
Si 0.314 0.814 0.500
Si 0.686 0.186 0.500
Si 0.837 0.500 0.337

## Properties
Space group = Immm (71)
DFT total energy = -5.265 eV per atom
Energy relative to the elements, uncorrected = -0.354 eV per atom
N(E_F) = 0.4113 states/eV/atom